Crystalline MnSbO3 at its relaxed geometry, computed with PBE with a Hubbard U. Values from VASP.

* total moment: 1.06 μB/atom
* mass density: 5.605 g cm⁻³
* DOS at the Fermi energy: 1.08 states/eV per cell
* E: -6.253 eV per atom

Geometry as Quantum ESPRESSO input:
```
&SYSTEM
  ibrav = 0, nat = 5, ntyp = 3
/
ATOMIC_SPECIES
O 16.00 O.upf
Sb 121.76 Sb.upf
Mn 54.94 Mn.upf
ATOMIC_POSITIONS crystal
O 0.0000 0.0000 0.5000
O 0.5000 0.0000 0.0000
O 0.0000 0.5000 0.0000
Sb 0.0000 0.0000 0.0000
Mn 0.5000 0.5000 0.5000
CELL_PARAMETERS angstrom
-3.6063 -1.4569 1.1391
0.4056 -3.0585 -2.6280
1.8043 -2.2244 2.8673
```